1.
The following is a DFT calculation (GGA-PBE) of a geometry-optimized AcNpCd structure.

Structure (POSCAR):
```
AcNpCd
1.0
0.0000 3.6998 3.6998
3.6998 0.0000 3.6998
3.6998 3.6998 0.0000
Ac Np Cd
1 1 1
Cartesian
0.0000 0.0000 0.0000 Ac
1.8499 1.8499 1.8499 Np
3.6998 3.6998 3.6998 Cd
```

Summary:
Spin magnetization ... 4.63 μB per cell
SG ... F-43m, No. 216
Calculated total energy ... -15.352 eV for the cell shown
Energy above the most stable polymorph in this dataset ... 0 meV/atom
ΔH_f (0 K) ... 806 meV per atom
Crystal system ... cubic

2.
The following is a DFT calculation (GGA-PBE) of a geometry-optimized Er2LuFe9 structure.

Structure (POSCAR):
```
Er2LuFe9
1.0
2.5031 1.4452 7.9886
-2.5031 1.4452 7.9886
0.0000 -2.8903 7.9886
Er Lu Fe
2 1 9
Cartesian
0.0000 0.0000 3.3989 Er
0.0000 0.0000 20.5669 Er
0.0000 0.0000 0.0000 Lu
-1.2526 -0.7232 9.9452 Fe
0.0000 0.0000 7.9756 Fe
0.0000 -1.4464 14.0206 Fe
-1.2526 0.7232 14.0206 Fe
0.0000 0.0000 11.9829 Fe
1.2526 -0.7232 9.9452 Fe
0.0000 1.4464 9.9452 Fe
0.0000 0.0000 15.9902 Fe
1.2526 0.7232 14.0206 Fe
```

Summary:
Spin magnetization ... 15.60 μB per cell
SG ... R-3m, No. 166
Calculated total energy ... -89.689 eV for the cell shown
ΔH_f (0 K) ... -105 meV per atom
Crystal system ... trigonal

3.
The following is a DFT calculation (GGA-PBE) of a geometry-optimized SrLaAgSe3 structure.

Structure (POSCAR):
```
SrLaAgSe3
1.0
9.3739 -2.1282 0.0000
9.3739 2.1282 0.0000
-2.0993 0.0000 8.4805
Sr La Ag Se
2 2 2 6
Cartesian
2.2471 0.0000 0.6187 Sr
14.4014 0.0000 7.8618 Sr
1.8380 0.0000 5.0413 La
14.8105 0.0000 3.4392 La
8.2467 0.0000 2.4524 Ag
8.4019 0.0000 6.0281 Ag
-1.0496 0.0000 4.2403 Se
5.6874 0.0000 1.3500 Se
4.8190 0.0000 5.4875 Se
9.3739 0.0000 0.0000 Se
11.8295 0.0000 2.9931 Se
10.9612 0.0000 7.1305 Se
```

Summary:
Spin magnetization ... 0.00 μB per cell
SG ... C2/m, No. 12
Calculated total energy ... -58.391 eV for the cell shown
Crystal system ... monoclinic